1.
# BeRe2Rh (GGA-PBE, relaxed)
# - Formation energy from the elements: -63 meV per atom
# - Crystal system: monoclinic
# - DFT total energy: -9.056 eV per atom
data_BeRe2Rh
_space_group_name_H-M_alt 'P 1 m 1'
_space_group_IT_number 6
_cell_length_a 2.695
_cell_length_b 4.032
_cell_length_c 5.076
_cell_angle_alpha 90.00
_cell_angle_beta 101.25
_cell_angle_gamma 90.00
loop_
_space_group_symop_operation_xyz
'x,y,z'
'x,-y,z'
loop_
_atom_site_label
_atom_site_type_symbol
_atom_site_fract_x
_atom_site_fract_y
_atom_site_fract_z
_atom_site_occupancy
Be1 Be 0.000 0.000 0.000 1
Re1 Re 0.304 0.000 0.498 1
Re2 Re 0.552 0.500 0.241 1
Rh1 Rh 0.886 0.500 0.780 1

2.
# BeReRh2 (GGA-PBE, relaxed)
# - Formation energy from the elements: 56 meV per atom
# - Crystal system: tetragonal
# - DFT total energy: -7.663 eV per atom
data_BeReRh2
_space_group_name_H-M_alt 'P 4/m m m'
_space_group_IT_number 123
_space_group_name_Hall '-P 4 2'
_cell_length_a 4.430
_cell_length_b 4.430
_cell_length_c 2.768
_cell_angle_alpha 90.00
_cell_angle_beta 90.00
_cell_angle_gamma 90.00
loop_
_atom_site_label
_atom_site_type_symbol
_atom_site_fract_x
_atom_site_fract_y
_atom_site_fract_z
_atom_site_occupancy
Be1 Be 0.000 0.000 0.000 1
Re1 Re 0.500 0.500 0.000 1
Rh1 Rh 0.000 0.500 0.500 1

3.
# Be2ReRh (GGA-PBE, relaxed)
# - ΔE to the lowest computed polymorph: 0.1876 eV/atom
# - Formation energy from the elements: -86 meV per atom
# - Crystal system: monoclinic
# - DFT total energy: -6.899 eV per atom
data_Be2ReRh
_space_group_name_H-M_alt 'P 1 2/m 1'
_space_group_IT_number 10
_cell_length_a 2.660
_cell_length_b 3.621
_cell_length_c 4.917
_cell_angle_alpha 90.00
_cell_angle_beta 92.47
_cell_angle_gamma 90.00
loop_
_space_group_symop_operation_xyz
'x,y,z'
'-x,-y,-z'
'-x,y,-z'
'x,-y,z'
loop_
_atom_site_label
_atom_site_type_symbol
_atom_site_fract_x
_atom_site_fract_y
_atom_site_fract_z
_atom_site_occupancy
Be1 Be 0.055 0.000 0.227 1
Re1 Re 0.500 0.500 0.000 1
Rh1 Rh 0.000 0.500 0.500 1

> Among the records above, which one has the highest DFT total energy?

Be2ReRh